1.
# Ir2PtRh, optimized geometry, DFT PBE
data_Ir2PtRh
_cell_length_a 2.7539
_cell_length_b 2.7539
_cell_length_c 26.8849
_cell_angle_alpha 90.00
_cell_angle_beta 90.00
_cell_angle_gamma 120.00
_space_group_name_H-M_alt 'R -3 m'
_space_group_IT_number 166
_space_group_name_Hall '-R 3 2"'
loop_
_atom_site_label
_atom_site_type_symbol
_atom_site_fract_x
_atom_site_fract_y
_atom_site_fract_z
Ir1 Ir 0.0000 0.0000 0.2479
Pt1 Pt 0.0000 0.0000 0.0000
Rh1 Rh 0.0000 0.0000 0.5000
# * energy relative to the lowest polymorph listed for this composition: 0.19 eV/f.u.
# * density of states at the Fermi level: 1.263 states/eV per atom
# * calculated density: 19253 kg/m³

2.
# Ir2PtRh, optimized geometry, DFT PBE
data_Ir2PtRh
_cell_length_a 4.738
_cell_length_b 4.738
_cell_length_c 2.688
_cell_angle_alpha 90.00
_cell_angle_beta 90.00
_cell_angle_gamma 90.00
_space_group_name_H-M_alt 'P 4/m m m'
_space_group_IT_number 123
_space_group_name_Hall '-P 4 2'
loop_
_atom_site_label
_atom_site_type_symbol
_atom_site_fract_x
_atom_site_fract_y
_atom_site_fract_z
Ir1 Ir 0.000 0.500 0.000
Pt1 Pt 0.000 0.000 0.500
Rh1 Rh 0.500 0.500 0.500
# * energy relative to the lowest polymorph listed for this composition: 1.10 eV/f.u.
# * density of states at the Fermi level: 1.705 states/eV per atom
# * calculated density: 18785 kg/m³

3.
# Ir2Pt3Rh4, optimized geometry, DFT PBE
data_Ir2Pt3Rh4
_cell_length_a 11.687
_cell_length_b 3.885
_cell_length_c 6.161
_cell_angle_alpha 90.00
_cell_angle_beta 108.44
_cell_angle_gamma 90.00
_space_group_name_H-M_alt 'C 1 2/m 1'
_space_group_IT_number 12
_space_group_name_Hall '-C 2y'
loop_
_atom_site_label
_atom_site_type_symbol
_atom_site_fract_x
_atom_site_fract_y
_atom_site_fract_z
Ir1 Ir 0.169 0.000 0.499
Pt1 Pt 0.000 0.500 0.500
Pt2 Pt 0.113 0.500 0.165
Rh1 Rh 0.057 0.000 0.829
Rh2 Rh 0.222 0.500 0.830
# * final energy: -130.5 eV/cell
# * density of states at the Fermi level: 1.509 states/eV per atom
# * calculated density: 17287 kg/m³

4.
# IrPt2Rh, optimized geometry, DFT PBE
data_IrPt2Rh
_cell_length_a 5.532
_cell_length_b 7.809
_cell_length_c 2.777
_cell_angle_alpha 90.00
_cell_angle_beta 90.00
_cell_angle_gamma 90.00
_space_group_name_H-M_alt 'C m m m'
_space_group_IT_number 65
_space_group_name_Hall '-C 2 2'
loop_
_atom_site_label
_atom_site_type_symbol
_atom_site_fract_x
_atom_site_fract_y
_atom_site_fract_z
Ir1 Ir 0.000 0.000 0.000
Pt1 Pt 0.250 0.250 0.500
Rh1 Rh 0.000 0.500 0.000
# * energy relative to the lowest polymorph listed for this composition: 0.23 eV/f.u.
# * density of states at the Fermi level: 1.735 states/eV per atom
# * calculated density: 18970 kg/m³

5.
# IrPtRh5, optimized geometry, DFT PBE
data_IrPtRh5
_cell_length_a 4.569
_cell_length_b 4.569
_cell_length_c 5.386
_cell_angle_alpha 90.00
_cell_angle_beta 90.00
_cell_angle_gamma 90.00
_space_group_name_H-M_alt 'P 4/m m m'
_space_group_IT_number 123
_space_group_name_Hall '-P 4 2'
loop_
_atom_site_label
_atom_site_type_symbol
_atom_site_fract_x
_atom_site_fract_y
_atom_site_fract_z
Ir1 Ir 0.000 0.000 0.000
Pt1 Pt 0.000 0.000 0.500
Rh1 Rh 0.000 0.500 0.241
Rh2 Rh 0.500 0.500 0.500
# * final energy: -49.1 eV/cell
# * density of states at the Fermi level: 1.746 states/eV per atom
# * calculated density: 13319 kg/m³

6.
# IrPt4Rh2, optimized geometry, DFT PBE
data_IrPt4Rh2
_cell_length_a 5.464
_cell_length_b 9.407
_cell_length_c 9.303
_cell_angle_alpha 90.00
_cell_angle_beta 106.92
_cell_angle_gamma 90.00
_space_group_name_H-M_alt 'C 1 2/c 1'
_space_group_IT_number 15
_space_group_name_Hall '-C 2yc'
loop_
_atom_site_label
_atom_site_type_symbol
_atom_site_fract_x
_atom_site_fract_y
_atom_site_fract_z
Ir1 Ir 0.000 0.209 0.250
Pt1 Pt 0.123 0.372 0.507
Pt2 Pt 0.247 0.045 0.751
Rh1 Rh 0.129 0.127 0.005
# * energy relative to the lowest polymorph listed for this composition: 0.00 eV/f.u.
# * density of states at the Fermi level: 1.406 states/eV per atom
# * calculated density: 17109 kg/m³

no.,V (Å³ per cell)
1,177
2,60
3,265
4,120
5,112
6,457